1.
CePaFe2 | PBE-GGA | optimized geometry

## Properties
Energy above the lowest structure with this stoichiometry = 0 kJ/mol of formula units
DOS(E_F) = 4.8 states/eV/f.u.
Calculated formation energy = -55 kJ/mol of formula units
Space group = R-3m, No. 166
Density = 10.45 Mg/m³
Total moment = 0.00 μB per formula unit

```
4
Lattice="4.1852 0.0000 0.0000 2.0926 3.6245 0.0000 2.0926 1.2082 5.0595" Properties=species:S:1:pos:R:3 pbc="T T T"
Ce 0.0000 0.0000 0.0000
Pa 4.1852 2.4163 2.5297
Fe 6.2777 3.6245 3.1748
Fe 2.0926 1.2082 1.8847
```

***

2.
CePa2Fe | PBE-GGA | optimized geometry

## Properties
Energy above the lowest structure with this stoichiometry = 0 kJ/mol of formula units
DOS(E_F) = 6.8 states/eV/f.u.
Calculated formation energy = 5 kJ/mol of formula units
Space group = P4/mmm, No. 123
Density = 12.57 Mg/m³
Total moment = 0.00 μB per formula unit

```
4
Lattice="-1.7794 1.4112 -2.5863 1.9050 -1.7538 -2.2676 -4.7930 -5.5527 0.2679" Properties=species:S:1:pos:R:3 pbc="T T T"
Pa -0.9335 -1.0814 0.0522
Ce -2.3337 -2.9476 -2.2930
Pa -3.8595 -4.4712 0.2157
Fe 0.0628 -0.1713 -2.4270
```

***

3.
Ce2PaFe2 | PBE-GGA | optimized geometry

## Properties
DOS(E_F) = 7.2 states/eV/f.u.
Calculated formation energy = -58 kJ/mol of formula units
Space group = P2_1/c, No. 14
Density = 10.32 Mg/m³
Total moment = 0.00 μB per formula unit

```
20
Lattice="6.0889 0.0000 -1.9938 0.0000 7.5085 0.0000 0.2267 0.0000 8.6965" Properties=species:S:1:pos:R:3 pbc="T T T"
Ce 3.2996 1.4196 -0.2492
Ce 2.0600 2.9697 6.2053
Fe 4.2064 7.4616 2.3199
Ce 0.2551 2.3347 0.7477
Fe 5.1005 7.2770 -0.2303
Pa 6.0205 1.5644 1.9727
Pa 2.9760 2.1899 2.9696
Fe 2.0561 3.9858 0.7666
Fe 4.2596 3.5227 5.9361
Fe 2.1093 0.0470 4.3828
Ce 3.0161 6.0889 6.9519
Pa 3.3396 5.3187 3.7331
Ce 1.2112 6.7239 1.4943
Ce 6.0606 5.1739 5.9549
Fe 1.2151 0.2315 6.9330
Pa 0.2952 5.9441 4.7300
Fe 5.1538 3.7073 3.3859
Ce 4.2557 4.5388 0.4974
Fe 1.1619 3.8012 3.3168
Ce 5.1045 0.7846 5.2084
```

***

4.
CePa2Fe | PBE-GGA | optimized geometry

## Properties
Energy above the lowest structure with this stoichiometry = 34 kJ/mol of formula units
DOS(E_F) = 8.1 states/eV/f.u.
Calculated formation energy = 39 kJ/mol of formula units
Space group = R3m, No. 160
Density = 11.88 Mg/m³
Total moment = 0.00 μB per formula unit

```
4
Lattice="-2.9415 -0.0360 -2.4125 -1.3070 -3.3052 -1.3568 -6.0542 -1.6040 4.4058" Properties=species:S:1:pos:R:3 pbc="T T T"
Pa -2.3289 -1.2103 -0.1421
Fe -2.9153 -2.2363 -2.4115
Pa -5.1902 -1.5127 3.3510
Ce -5.0195 -2.4587 0.1573
```

***

5.
CePaFe2 | PBE-GGA | optimized geometry

## Properties
Energy above the lowest structure with this stoichiometry = 53 kJ/mol of formula units
DOS(E_F) = 5.2 states/eV/f.u.
Calculated formation energy = -3 kJ/mol of formula units
Space group = P4/mmm, No. 123
Density = 10.79 Mg/m³
Total moment = 0.05 μB per formula unit

```
4
Lattice="-3.2036 0.0840 -0.6322 0.4776 -1.8302 -2.6632 -0.9011 -5.7643 3.7997" Properties=species:S:1:pos:R:3 pbc="T T T"
Fe -0.1774 -1.1348 0.7481
Fe -0.7237 -4.6294 3.0517
Pa -1.3630 -0.8731 -1.6477
Ce -1.8136 -3.7552 0.2522
```

***

6.
Ce2PaFe | PBE-GGA | optimized geometry

## Properties
Energy above the lowest structure with this stoichiometry = 120 kJ/mol of formula units
DOS(E_F) = 7.8 states/eV/f.u.
Calculated formation energy = 112 kJ/mol of formula units
Space group = R-3m, No. 166
Density = 10.96 Mg/m³
Total moment = 0.74 μB per formula unit

```
4
Lattice="-0.3510 -2.9229 0.9475 2.2383 -1.3761 1.6313 -3.7097 1.9403 9.6586" Properties=species:S:1:pos:R:3 pbc="T T T"
Pa 0.0000 0.0000 0.0000
Ce 0.6283 -3.3202 5.1320
Ce -2.4507 0.9615 7.1055
Fe -0.9112 -1.1794 6.1187
```

***

7.
CePaFeRu | PBE-GGA | optimized geometry

## Properties
DOS(E_F) = 5.2 states/eV/f.u.
Calculated formation energy = -38 kJ/mol of formula units
Space group = F-43m, No. 216
Density = 11.20 Mg/m³
Total moment = 0.09 μB per formula unit

```
4
Lattice="-1.8345 -2.0196 -3.9517 2.7092 -2.9184 -2.6839 -0.9084 -4.7146 -0.0865" Properties=species:S:1:pos:R:3 pbc="T T T"
Pa 0.0000 0.0000 0.0000
Fe -0.0084 -2.4132 -1.6806
Ce -0.0168 -4.8263 -3.3611
Ru -0.0252 -7.2395 -5.0417
```

***

8.
CePaFeS4 | PBE-GGA | optimized geometry

## Properties
Raw formation energy = -1.4293 eV per atom
DOS(E_F) = 8.1 states/eV/f.u.
Space group = P2_1/m, No. 11
Density = 6.77 Mg/m³
Total moment = 0.71 μB per formula unit

```
14
Lattice="-2.5809 3.4137 4.7638 3.2393 -2.8856 3.8228 6.2239 3.8391 -2.3760" Properties=species:S:1:pos:R:3 pbc="T T T"
Pa 3.6424 2.2606 0.8064
S 0.6256 2.9037 5.9589
S -0.9379 4.2965 4.1137
Ce 6.3303 3.9653 4.1885
S 1.7900 2.7678 2.7590
Ce 0.5520 0.4019 2.0221
Pa 3.2399 2.1065 5.4042
Fe 3.7768 -0.1209 3.2678
S 7.8202 0.0706 2.0969
S 4.8242 4.6008 1.5716
S 2.0581 -0.2337 4.6391
Fe 3.1055 4.4880 2.9428
S 6.2566 1.4635 0.2517
S 5.0923 1.5994 3.4517
```

***

9.
Ce8FePb2 | PBE-GGA | optimized geometry

## Properties
DOS(E_F) = 30.1 states/eV/f.u.
Calculated formation energy = -189 kJ/mol of formula units
Space group = C2/m, No. 12
Density = 9.32 Mg/m³
Total moment = 3.68 μB per formula unit

```
11
Lattice="5.0551 0.0000 -1.1326 -0.1798 4.3141 -0.8025 0.1973 1.1510 12.7269" Properties=species:S:1:pos:R:3 pbc="T T T"
Ce 2.7725 2.8211 0.5269
Ce 0.2259 0.9360 1.0083
Ce 4.8466 4.5291 9.7834
Pb 4.3709 1.9104 7.6605
Ce 3.3402 1.4491 3.0604
Ce 2.3000 2.6441 10.2649
Fe 2.5275 0.0000 -0.5663
Ce 1.7324 4.0160 7.7314
Pb 0.7016 3.5547 3.1312
Ce 1.3624 1.8171 6.0802
Ce 3.7101 3.6480 4.7116
```

***

10.
Ce9Fe2Pb3 | PBE-GGA | optimized geometry

## Properties
DOS(E_F) = 30.0 states/eV/f.u.
Calculated formation energy = -394 kJ/mol of formula units
Space group = P-3m1, No. 164
Density = 9.02 Mg/m³
Total moment = 4.03 μB per formula unit

```
14
Lattice="7.0310 0.0000 0.0000 -3.5155 6.0890 0.0000 0.0000 0.0000 8.5793" Properties=species:S:1:pos:R:3 pbc="T T T"
Ce -1.8399 5.1216 5.5523
Ce 1.7577 3.0445 0.0000
Ce 3.5155 4.1542 3.0270
Ce 3.5155 0.0000 0.0000
Ce 1.6756 0.9674 3.0270
Ce 0.0000 1.9349 5.5523
Ce -1.7577 3.0445 0.0000
Pb 0.0000 0.0000 0.0000
Pb 0.0000 4.0593 2.8442
Fe 3.5155 2.0297 1.3295
Ce 1.8399 5.1216 5.5523
Pb 3.5155 2.0297 5.7351
Fe 0.0000 4.0593 7.2498
Ce 5.3553 0.9674 3.0270
```

***

11.
Ce6Fe2Pb | PBE-GGA | optimized geometry

## Properties
DOS(E_F) = 16.8 states/eV/f.u.
Calculated formation energy = -163 kJ/mol of formula units
Space group = C2/m, No. 12
Density = 8.95 Mg/m³
Total moment = 0.59 μB per formula unit

```
9
Lattice="-1.8086 -4.0840 1.2980 5.5479 -0.3470 -1.6952 2.2247 1.6361 8.2478" Properties=species:S:1:pos:R:3 pbc="T T T"
Ce 2.4641 -2.0349 5.3649
Fe 3.2899 -1.7648 7.3652
Ce 5.6411 -0.6168 5.9196
Ce 3.2651 -3.8231 0.8545
Ce 2.6989 1.0283 6.9961
Fe 2.6741 -1.0300 0.4853
Pb 1.1123 0.8181 4.1239
Ce 3.5000 -0.7600 2.4856
Ce 0.3229 -2.1780 1.9309
```

***

12.
Ce4FePb2 | PBE-GGA | optimized geometry

## Properties
DOS(E_F) = 15.8 states/eV/f.u.
Calculated formation energy = -181 kJ/mol of formula units
Space group = P2_1/m, No. 11
Density = 8.85 Mg/m³
Total moment = 2.44 μB per formula unit

```
14
Lattice="-4.7111 -0.8899 -4.0513 -3.6544 -2.7206 4.8470 -0.0098 8.9929 5.0402" Properties=species:S:1:pos:R:3 pbc="T T T"
Ce -2.5038 1.8396 -0.6363
Pb -6.4414 2.3787 3.3256
Pb -1.9339 3.0038 2.5102
Fe -3.5842 -0.8391 3.6737
Pb -6.0806 -2.1232 1.0708
Ce -5.8714 3.5429 6.4721
Ce -5.0427 3.9856 0.7174
Ce -5.0712 -0.7968 -1.9883
Ce -3.3325 1.3969 5.1184
Fe -4.7911 6.2216 2.1621
Ce -3.3041 6.1793 7.8241
Pb -2.2947 7.5056 4.7651
Ce -4.1557 0.6098 1.5548
Ce -4.2195 4.7727 4.2811
```

***

13.
Ce3FePb2 | PBE-GGA | optimized geometry

## Properties
DOS(E_F) = 9.3 states/eV/f.u.
Calculated formation energy = -89 kJ/mol of formula units
Space group = C2/m, No. 12
Density = 8.70 Mg/m³
Total moment = 0.62 μB per formula unit

```
12
Lattice="-0.8952 3.2346 -5.9636 -5.6231 -1.9730 -4.1522 -4.8775 6.7989 0.7124" Properties=species:S:1:pos:R:3 pbc="T T T"
Ce -4.6276 7.7362 -3.2677
Ce -5.2258 3.3550 -8.1716
Ce -6.1699 4.7054 -1.2317
Pb -2.8863 5.0167 -2.6256
Ce -1.1450 2.2973 -1.9835
Ce -7.6369 5.6155 -4.4440
Fe -2.4433 0.2328 -3.4331
Pb -4.6263 5.7374 -5.8996
Pb 0.0000 0.0000 0.0000
Pb -6.7695 2.3230 -3.5038
Ce -3.7589 2.4449 -4.9593
Fe -4.0750 1.0287 -6.6827
```

***

14.
Ce3FePb | PBE-GGA | optimized geometry

## Properties
DOS(E_F) = 14.0 states/eV/f.u.
Calculated formation energy = -138 kJ/mol of formula units
Space group = Pm-3m, No. 221
Density = 8.53 Mg/m³
Total moment = 1.92 μB per formula unit

```
5
Lattice="5.1058 0.0000 0.0000 0.0000 5.1058 0.0000 0.0000 0.0000 5.1058" Properties=species:S:1:pos:R:3 pbc="T T T"
Ce 0.0000 0.0000 2.5529
Fe 0.0000 0.0000 0.0000
Ce 2.5529 0.0000 0.0000
Pb 2.5529 2.5529 2.5529
Ce 0.0000 2.5529 0.0000
```

***

15.
Ce2FePb | PBE-GGA | optimized geometry

## Properties
Energy above the lowest structure with this stoichiometry = 33 kJ/mol of formula units
DOS(E_F) = 7.0 states/eV/f.u.
Calculated formation energy = -28 kJ/mol of formula units
Space group = C2/m, No. 12
Density = 8.73 Mg/m³
Total moment = 0.51 μB per formula unit

```
4
Lattice="3.7187 0.0023 0.0024 1.8581 3.2215 0.0005 0.0061 0.0008 8.6294" Properties=species:S:1:pos:R:3 pbc="T T T"
Fe 2.7049 0.3451 3.6248
Pb 2.7087 0.3454 7.9391
Ce 2.7074 2.4921 5.1720
Ce 0.8429 1.4175 2.0747
```

***

16.
Ce2FePb | PBE-GGA | optimized geometry

## Properties
Energy above the lowest structure with this stoichiometry = 0 kJ/mol of formula units
DOS(E_F) = 6.6 states/eV/f.u.
Calculated formation energy = -60 kJ/mol of formula units
Space group = P4/mmm, No. 123
Density = 9.57 Mg/m³
Total moment = 0.46 μB per formula unit

```
4
Lattice="3.2922 0.0000 0.0000 0.0000 3.2922 0.0000 0.0000 0.0000 8.6933" Properties=species:S:1:pos:R:3 pbc="T T T"
Pb 1.6461 1.6461 4.3467
Ce 0.0000 0.0000 6.9741
Fe 1.6461 1.6461 0.0000
Ce 0.0000 0.0000 1.7192
```

***

17.
Ce2FePb | PBE-GGA | optimized geometry

## Properties
Energy above the lowest structure with this stoichiometry = 105 kJ/mol of formula units
DOS(E_F) = 7.6 states/eV/f.u.
Calculated formation energy = 45 kJ/mol of formula units
Space group = R-3m, No. 166
Density = 7.80 Mg/m³
Total moment = 0.39 μB per formula unit

```
4
Lattice="-2.1214 -0.9372 -2.9129 0.4198 -3.3288 -1.6144 -7.1335 -5.1513 4.4728" Properties=species:S:1:pos:R:3 pbc="T T T"
Pb 0.0000 0.0000 0.0000
Ce -4.8677 -3.8644 2.4087
Ce -3.9674 -5.5528 -2.4631
Fe -4.4175 -4.7086 -0.0272
```

***

18.
Ce8FePb4 | PBE-GGA | optimized geometry

## Properties
DOS(E_F) = 30.7 states/eV/f.u.
Calculated formation energy = -326 kJ/mol of formula units
Space group = Pm, No. 6
Density = 9.47 Mg/m³
Total moment = 3.13 μB per formula unit

```
13
Lattice="-3.3945 -3.6014 -1.5811 1.8220 -2.8150 2.5003 -9.6749 3.6394 12.4813" Properties=species:S:1:pos:R:3 pbc="T T T"
Ce -4.8370 -3.9415 2.2908
Ce -7.4586 0.2366 6.9380
Ce -4.1325 -0.9349 2.4656
Pb -2.2967 -6.0819 1.7122
Pb -10.3099 1.4215 10.3606
Ce -1.3631 -2.9608 1.1346
Ce -11.1043 -1.7801 10.8227
Fe -1.8965 -0.8192 5.9375
Ce -7.3801 2.7087 9.6744
Pb -4.8483 0.6257 8.9837
Pb -4.7426 -1.8866 5.9430
Ce -4.0929 1.3316 5.7537
Ce -7.7753 -0.6633 9.6678
```

***

19.
Ce2PuFePb | PBE-GGA | optimized geometry

## Properties
DOS(E_F) = 8.6 states/eV/f.u.
Calculated formation energy = -117 kJ/mol of formula units
Space group = P4/mmm, No. 123
Density = 10.05 Mg/m³
Total moment = 6.44 μB per formula unit

```
5
Lattice="4.9331 0.0000 0.0000 0.0000 5.1354 0.0000 0.0000 0.0000 5.1354" Properties=species:S:1:pos:R:3 pbc="T T T"
Ce 0.0000 2.5677 0.0000
Ce 0.0000 0.0000 2.5677
Pu 2.4665 0.0000 0.0000
Fe 0.0000 0.0000 0.0000
Pb 2.4665 2.5677 2.5677
```

***

20.
Ce6FeTcPb2 | PBE-GGA | optimized geometry

## Properties
DOS(E_F) = 29.6 states/eV/f.u.
Calculated formation energy = -230 kJ/mol of formula units
Space group = I4/mmm, No. 139
Density = 8.34 Mg/m³
Total moment = 3.79 μB per formula unit

```
10
Lattice="-4.8644 0.2690 -5.4924 1.9698 -6.7622 -2.0721 -5.0876 -5.2643 -0.6562" Properties=species:S:1:pos:R:3 pbc="T T T"
Ce -2.1891 -4.9089 -5.7189
Ce -5.7932 -6.8486 -2.5017
Ce -3.1959 -1.4472 -4.6570
Ce -3.3019 -4.2745 -2.1896
Pb -5.6998 -4.1209 -4.9654
Pb -2.2825 -7.6366 -3.2553
Fe 0.0000 0.0000 0.0000
Ce -4.6804 -7.4830 -6.0310
Tc -1.4473 -3.2466 -3.7822
Ce 0.3012 -5.0461 -2.9075
```

***

21.
Ce2ThFePb | PBE-GGA | optimized geometry

## Properties
DOS(E_F) = 11.0 states/eV/f.u.
Calculated formation energy = -125 kJ/mol of formula units
Space group = P4/mmm, No. 123
Density = 9.41 Mg/m³
Total moment = 1.22 μB per formula unit

```
5
Lattice="-3.7250 1.8084 3.3724 -2.3692 -4.4672 -0.2214 2.7461 -1.6506 3.9183" Properties=species:S:1:pos:R:3 pbc="T T T"
Fe 0.0000 0.0000 0.0000
Pb -1.6741 -2.1547 3.5346
Ce 1.3730 -0.8253 1.9592
Ce -1.1846 -2.2336 -0.1107
Th -1.8625 0.9042 1.6862
```

***

22.
Ce2FePd | PBE-GGA | optimized geometry

## Properties
Energy above the lowest structure with this stoichiometry = 0 kJ/mol of formula units
DOS(E_F) = 7.8 states/eV/f.u.
Calculated formation energy = -100 kJ/mol of formula units
Space group = P4/mmm, No. 123
Density = 8.85 Mg/m³
Total moment = 0.53 μB per formula unit

```
4
Lattice="-0.4901 2.6206 2.1131 1.3963 -1.7848 2.5373 6.4590 2.5995 -1.7257" Properties=species:S:1:pos:R:3 pbc="T T T"
Ce 4.9787 2.0038 -1.3302
Fe 0.4531 0.4179 2.3252
Pd 3.6826 1.7176 1.4624
Ce 1.4803 0.5957 -0.3955
```

***

23.
Ce2FePd | PBE-GGA | optimized geometry

## Properties
Energy above the lowest structure with this stoichiometry = 155 kJ/mol of formula units
DOS(E_F) = 6.3 states/eV/f.u.
Calculated formation energy = 55 kJ/mol of formula units
Space group = R-3m, No. 166
Density = 9.40 Mg/m³
Total moment = 0.70 μB per formula unit

```
4
Lattice="3.0371 0.0000 0.0000 1.5186 2.6302 0.0000 1.5186 0.8767 9.7821" Properties=species:S:1:pos:R:3 pbc="T T T"
Pd 0.0000 0.0000 0.0000
Ce 1.5186 0.8767 7.0861
Fe 3.0371 1.7535 4.8911
Ce 4.5557 2.6302 2.6961
```

***

24.
CeFe2Pd7 | PBE-GGA | optimized geometry

## Properties
DOS(E_F) = 9.9 states/eV/f.u.
Calculated formation energy = 112 kJ/mol of formula units
Space group = Cmmm, No. 65
Density = 8.28 Mg/m³
Total moment = 7.13 μB per formula unit

```
10
Lattice="4.4558 0.0000 0.0000 0.0000 7.1730 -0.1571 0.0000 -3.3764 6.3306" Properties=species:S:1:pos:R:3 pbc="T T T"
Pd 2.2279 1.8983 3.0867
Pd 0.0000 4.8629 1.2635
Pd 2.2279 4.3506 4.2415
Pd 2.2279 1.8225 5.7962
Pd 0.0000 -1.0663 4.9100
Pd 2.2279 -0.5540 1.9320
Fe 2.2279 -0.1849 4.3679
Pd 2.2279 1.9741 0.3773
Ce 0.0000 0.0000 0.0000
Fe 2.2279 3.9815 1.8056
```

***

25.
CePuFePd | PBE-GGA | optimized geometry

## Properties
DOS(E_F) = 11.4 states/eV/f.u.
Calculated formation energy = -56 kJ/mol of formula units
Space group = F-43m, No. 216
Density = 10.95 Mg/m³
Total moment = 4.87 μB per formula unit

```
4
Lattice="-4.5337 -1.8131 0.3155 -0.7575 -4.3365 2.1360 -2.2464 -0.2299 4.3408" Properties=species:S:1:pos:R:3 pbc="T T T"
Ce 0.0000 0.0000 0.0000
Pu -3.7689 -3.1898 3.3961
Fe -1.8844 -1.5949 1.6981
Pd -5.6533 -4.7847 5.0942
```